# 1
Entry from Alexandria via LeMat-Bulk: an optimized crystal structure of ZrCo22B6 (PBE).

abc: 7.4380 7.4380 7.4380
angles: 60.00 60.00 60.00
Each line ends with the local moment (μB).
Element x y z (fractional)
B  0.2721  0.2721  0.7279  -0.08
B  0.7279  0.2721  0.7279  -0.08
B  0.2721  0.7279  0.2721  -0.08
B  0.7279  0.7279  0.2721  -0.08
B  0.2721  0.7279  0.7279  -0.08
B  0.7279  0.2721  0.2721  -0.08
Co  0.3462  0.0000  0.0000  1.20
Co  0.0000  0.3462  0.6538  1.20
Co  0.0000  0.0000  0.6538  1.20
Co  0.6538  0.3462  0.0000  1.20
Co  0.7500  0.7500  0.7500  1.98
Co  0.6538  0.0000  0.0000  1.20
Co  0.0000  0.6538  0.0000  1.20
Co  0.1436  0.6188  0.6188  1.11
Co  0.3812  0.3812  0.3812  1.11
Co  0.0000  0.0000  0.3462  1.20
Co  0.6538  0.0000  0.3462  1.20
Co  0.0000  0.6538  0.3462  1.20
Co  0.3462  0.6538  0.0000  1.20
Co  0.3812  0.3812  0.8564  1.11
Co  0.3812  0.8564  0.3812  1.11
Co  0.2500  0.2500  0.2500  1.98
Co  0.0000  0.3462  0.0000  1.20
Co  0.6188  0.1436  0.6188  1.11
Co  0.6188  0.6188  0.6188  1.11
Co  0.3462  0.0000  0.6538  1.20
Co  0.6188  0.6188  0.1436  1.11
Co  0.8564  0.3812  0.3812  1.11
Zr  0.0000  0.0000  0.0000  -0.26

Output
Its space group is No. 225. The calculation puts the energy at -7.218 eV per atom. The total magnetization comes out at 26.2 μB/f.u. The calculation puts the formation energy from the elements at -0.151 eV/atom.


# 2
Entry from Alexandria via LeMat-Bulk: an optimized crystal structure of PuPa2H (PBE).

abc: 3.1619 3.1619 9.1276
angles: 80.03 80.03 60.00
Each line ends with the local moment (μB).
Element x y z (fractional)
Pa  0.8918  0.8918  0.3247  -0.19
Pa  0.1082  0.1082  0.6753  -0.19
Pu  0.0000  0.0000  0.0000  5.24
H  0.5000  0.5000  0.5000  0.00

Output
Its space group is No. 166. The polymorph energy (0 for the lowest one) comes out at 0 meV/atom. The calculation puts the energy at -9.025 eV per atom. The total magnetization comes out at 4.9 μB/f.u.


# 3
Entry from Alexandria via LeMat-Bulk: an optimized crystal structure of Tb2HgC2 (PBE).

abc: 3.9513 6.8144 8.1018
angles: 113.48 104.11 90.00
Element x y z (fractional)
C  0.3510  0.0185  0.4488
C  0.0977  0.5185  0.4488
C  0.6490  0.9815  0.5512
C  0.9023  0.4815  0.5512
Tb  0.5098  0.3997  0.6933
Tb  0.1835  0.8997  0.6933
Tb  0.8165  0.1003  0.3067
Tb  0.4902  0.6003  0.3067
Hg  0.0966  0.7500  0.0000
Hg  0.9034  0.2500  0.0000

Output
Its space group is No. 15. The calculation puts the energy at -5.963 eV per atom. The total magnetization comes out at 0.0 μB/f.u. The calculation puts the formation energy from the elements at -0.361 eV/atom.


# 4
Entry from Alexandria via LeMat-Bulk: an optimized crystal structure of Ba2TlRh4Pb3 (PBE).

abc: 4.7502 4.7502 11.2295
angles: 90.00 90.00 90.00
Element x y z (fractional)
Rh  0.5000  0.5000  0.0000
Rh  0.0000  0.5000  0.3685
Rh  0.5000  0.0000  0.6315
Rh  0.0000  0.0000  0.0000
Tl  0.5000  0.5000  0.5000
Ba  0.5000  0.0000  0.2435
Ba  0.0000  0.5000  0.7565
Pb  0.0000  0.5000  0.1232
Pb  0.5000  0.0000  0.8768
Pb  0.0000  0.0000  0.5000

Output
Its space group is No. 115. The calculation puts the energy at -4.958 eV per atom. The total magnetization comes out at 0.0 μB/f.u. The calculation puts the formation energy from the elements at -0.284 eV/atom.